*a*
Computed, not measured: crystalline Ba2CF at its relaxed geometry at the PBE level of DFT.

Unit cell a=5.007 b=5.007 c=5.007 alpha=60.00 beta=60.00 gamma=60.00
Element x y z (fractional)
Ba 0.250 0.250 0.250
Ba 0.750 0.750 0.750
C 0.000 0.000 0.000
F 0.500 0.500 0.500



*b*
Computed, not measured: crystalline Ba2CF at its relaxed geometry at the PBE level of DFT.

Unit cell a=7.868 b=7.868 c=7.868 alpha=134.13 beta=134.13 gamma=66.89
Element x y z (fractional)
Ba 0.125 0.625 0.000
Ba 0.375 0.375 0.500
Ba 0.625 0.125 0.000
Ba 0.875 0.875 0.500
C 0.000 0.000 0.000
C 0.750 0.250 0.500
F 0.250 0.750 0.500
F 0.500 0.500 0.000



Here is how they stack up, most stable first: *b*, *a*.



*a*
Computed, not measured: crystalline BaFeC3 at its relaxed geometry at the PBE level of DFT.

Unit cell a=4.019 b=4.019 c=4.019 alpha=90.00 beta=90.00 gamma=90.00
Element x y z (fractional)
Ba 0.000 0.000 0.000
Fe 0.500 0.500 0.500
C 0.000 0.500 0.500
C 0.500 0.000 0.500
C 0.500 0.500 0.000



*b*
Computed, not measured: crystalline BaFeC3 at its relaxed geometry at the PBE level of DFT.

Unit cell a=4.588 b=4.588 c=4.588 alpha=90.00 beta=90.00 gamma=90.00
Element x y z (fractional)
Ba 0.000 0.000 0.000
Fe 0.500 0.500 0.500
C 0.000 0.000 0.500
C 0.000 0.500 0.000
C 0.500 0.000 0.000



Here is how they stack up, most stable first: *a*, *b*.



*a*
Computed, not measured: crystalline Ba2GaC at its relaxed geometry at the PBE level of DFT.

Unit cell a=5.453 b=5.453 c=5.453 alpha=60.00 beta=60.00 gamma=60.00
Element x y z (fractional)
Ba 0.250 0.250 0.250
Ba 0.750 0.750 0.750
Ga 0.000 0.000 0.000
C 0.500 0.500 0.500



*b*
Computed, not measured: crystalline Ba2GaC at its relaxed geometry at the PBE level of DFT.

Unit cell a=6.989 b=6.989 c=6.989 alpha=105.79 beta=105.79 gamma=117.11
Element x y z (fractional)
Ba 0.039 0.625 0.914
Ba 0.375 0.289 0.414
Ba 0.711 0.125 0.086
Ba 0.875 0.961 0.586
Ga 0.250 0.750 0.500
Ga 0.500 0.500 0.000
C 0.000 0.000 0.000
C 0.750 0.250 0.500



Here is how they stack up, most stable first: *b*, *a*.